[1]
Density functional theory data (GGA-PBE) for a relaxed LaDyN crystal.

Values from the calculation:
**Energy above the lowest structure with this stoichiometry**: 0.036 eV/atom
**Volume**: 68 Å³/cell
**Formation energy without anion corrections**: -0.911 eV/atom
**Space-group type**: P4/mmm
**Magnetization**: 0.2 μB per formula unit
**DFT total energy**: -20.59 eV per cell

Lattice parameters (Å, degrees): 4.754 3.785 3.785 89.99 90.00 90.00
Atoms (fractional coordinates):
La1 0.061 0.559 0.559
Dy1 0.561 0.059 0.059
N1 0.061 0.058 0.058

[2]
Density functional theory data (GGA-PBE) for a relaxed SiAgBr4 crystal.

Values from the calculation:
**Energy above the lowest structure with this stoichiometry**: 1.268 eV/atom
**Volume**: 171 Å³/cell
**Formation energy without anion corrections**: 0.907 eV/atom
**Space-group type**: F-43m
**Magnetization**: 0.0 μB per formula unit
**DFT total energy**: -9.53 eV per cell

Lattice parameters (Å, degrees): 6.231 6.231 6.231 60.00 60.00 60.00
Atoms (fractional coordinates):
Si1 0.750 0.750 0.750
Br1 0.374 0.374 0.374
Br2 0.878 0.374 0.374
Br3 0.374 0.374 0.878
Br4 0.374 0.878 0.374
Ag1 0.000 0.000 0.000

[3]
Density functional theory data (GGA-PBE) for a relaxed La2Y3Er6 crystal.

Values from the calculation:
**Volume**: 376 Å³/cell
**Space-group type**: C2/m
**Magnetization**: 0.0 μB per formula unit
**Formation energy**: 189 meV/atom
**DFT total energy**: -54.54 eV per cell

Lattice parameters (Å, degrees): 6.107 6.116 11.805 85.00 79.95 60.05
Atoms (fractional coordinates):
Er1 0.585 0.334 0.245
Er2 0.918 0.666 0.245
Er3 0.082 0.334 0.755
Er4 0.415 0.666 0.755
Er5 0.749 0.000 0.755
Er6 0.251 0.000 0.245
Y1 0.000 0.000 0.000
Y2 0.665 0.670 0.000
Y3 0.335 0.330 0.000
La1 0.834 0.333 0.500
La2 0.166 0.667 0.500

- DFT total energy of number 3 (La2Y3Er6)?
  -54.54 eV per cell

- Among the records above, which one has the lowest volume?
  LaDyN